Record 1
VASP calculation (PBE) on a geometry-optimized PmZn2PdAu5 structure.

Lattice parameters (Å, degrees): 4.902 4.902 7.403 90.00 90.00 90.00
Atoms (fractional coordinates):
Pm 0.000 0.000 0.500
Zn 0.500 0.500 0.157
Zn 0.500 0.500 0.843
Au 0.500 0.000 0.770
Au 0.000 0.500 0.230
Au 0.500 0.500 0.500
Au 0.500 0.000 0.230
Au 0.000 0.500 0.770
Pd 0.000 0.000 0.000

For the total energy, the calculation gives -30.81 eV/cell. The value obtained for the size of the total moment is 0.00 μB per formula unit. Its symmetry is P4/mmm (123).

Record 2
VASP calculation (PBE) on a geometry-optimized Pm2Zn2Pd5Au structure.

Lattice parameters (Å, degrees): 3.900 9.673 9.673 90.00 90.00 90.00
Atoms (fractional coordinates):
Pd 0.500 0.934 0.207
Pd 0.500 0.566 0.707
Pd 0.500 0.500 0.000
Pd 0.500 0.207 0.066
Pd 0.500 0.066 0.793
Pd 0.500 0.793 0.934
Pd 0.500 0.434 0.293
Pd 0.500 0.293 0.566
Pd 0.500 0.707 0.434
Pd 0.500 0.000 0.500
Zn 0.000 0.383 0.117
Zn 0.000 0.117 0.617
Zn 0.000 0.617 0.883
Zn 0.000 0.883 0.383
Pm 0.000 0.819 0.681
Pm 0.000 0.181 0.319
Pm 0.000 0.681 0.181
Pm 0.000 0.319 0.819
Au 0.000 0.500 0.500
Au 0.000 0.000 0.000

For the total energy, the calculation gives -95.33 eV/cell. The value obtained for the size of the total moment is 0.00 μB per formula unit. Its symmetry is P4/mbm (127).

Record 3
VASP calculation (PBE) on a geometry-optimized Pm2ZnPdAu2 structure.

Lattice parameters (Å, degrees): 6.060 6.037 8.500 110.80 110.88 90.00
Atoms (fractional coordinates):
Pm 0.939 0.659 0.318
Pm 0.379 0.159 0.318
Pm 0.621 0.841 0.682
Pm 0.061 0.341 0.682
Zn 0.500 0.250 0.000
Zn 0.500 0.750 0.000
Au 0.848 0.128 0.256
Au 0.152 0.872 0.744
Au 0.408 0.628 0.256
Au 0.592 0.372 0.744
Pd 0.000 0.250 0.000
Pd 0.000 0.750 0.000

For the total energy, the calculation gives -53.28 eV/cell. The value obtained for the size of the total moment is 0.00 μB per formula unit. Its symmetry is Ibam (72).

Copy entry 1 word for word.
VASP calculation (PBE) on a geometry-optimized PmZn2PdAu5 structure.

Lattice parameters (Å, degrees): 4.902 4.902 7.403 90.00 90.00 90.00
Atoms (fractional coordinates):
Pm 0.000 0.000 0.500
Zn 0.500 0.500 0.157
Zn 0.500 0.500 0.843
Au 0.500 0.000 0.770
Au 0.000 0.500 0.230
Au 0.500 0.500 0.500
Au 0.500 0.000 0.230
Au 0.000 0.500 0.770
Pd 0.000 0.000 0.000

For the total energy, the calculation gives -30.81 eV/cell. The value obtained for the size of the total moment is 0.00 μB per formula unit. Its symmetry is P4/mmm (123).

Which value of size of the total moment does entry 2 give?
0.00 μB per formula unit